Compound: Ir3PbN
Source: the Alexandria database
Functional: SCAN
Structure: PBEsol geometry Values from VASP.

Cell and atoms, written as Quantum ESPRESSO input:
```
&SYSTEM
  ibrav = 0, nat = 5, ntyp = 3
/
ATOMIC_SPECIES
Ir 192.22 Ir.upf
Pb 207.20 Pb.upf
N 14.01 N.upf
ATOMIC_POSITIONS crystal
Ir 0.5000 0.0000 0.0000
Ir 0.0000 0.5000 0.0000
Ir 0.0000 0.0000 0.5000
Pb 0.5000 0.5000 0.5000
N 0.0000 0.0000 0.0000
CELL_PARAMETERS angstrom
4.1865 0.0000 0.0000
0.0000 4.1865 0.0000
0.0000 0.0000 4.1865
```

Computed properties:
* symmetry: Pm-3m
* energy relative to the elements, uncorrected: 1016 meV/atom
* V: 14.68 Å³/atom


Compound: IrPbSN2
Source: the Alexandria database
Functional: SCAN
Structure: PBEsol geometry Values from VASP.

Cell and atoms, written as Quantum ESPRESSO input:
```
&SYSTEM
  ibrav = 0, nat = 5, ntyp = 4
/
ATOMIC_SPECIES
N 14.01 N.upf
Pb 207.20 Pb.upf
Ir 192.22 Ir.upf
S 32.06 S.upf
ATOMIC_POSITIONS crystal
N 0.5000 0.0000 0.0000
N 0.0000 0.5000 0.0000
Pb 0.0000 0.0000 0.0000
Ir 0.5000 0.5000 0.5000
S 0.0000 0.0000 0.5000
CELL_PARAMETERS angstrom
-0.5032 3.8321 1.2693
-4.0304 -0.5492 0.0605
0.3029 -1.6580 5.1258
```

Computed properties:
* symmetry: P4/mmm
* energy relative to the elements, uncorrected: 2448 meV/atom
* V: 17.86 Å³/atom


Which value of V does entry 1 give?
14.68 Å³/atom


Number 1 is which compound?
Ir3PbN


V of number 2 (IrPbSN2)?
17.86 Å³/atom


The lowest energy relative to the elements, uncorrected belongs to which entry?
Ir3PbN